Record 1
A plane-wave DFT calculation with GGA-PBE was carried out for an optimized crystal structure of Ti3HgCl.

Output
The calculation puts the final energy at -5.1606 eV per atom. For the energy above the most stable polymorph in this dataset, the calculation gives 0.00 eV/f.u.

The structure in CIF format:
```
data_Ti3HgCl
_chemical_formula_sum 'Ti3 Hg1 Cl1'
_symmetry_space_group_name_H-M 'P m -3 m'
_symmetry_Int_Tables_number 221
_symmetry_space_group_name_Hall '-P 4 2 3'
_cell_length_a 4.495
_cell_length_b 4.495
_cell_length_c 4.495
_cell_angle_alpha 90.00
_cell_angle_beta 90.00
_cell_angle_gamma 90.00
loop_
_atom_site_label
_atom_site_fract_x
_atom_site_fract_y
_atom_site_fract_z
Ti1 0.000 0.000 0.500
Hg1 0.500 0.500 0.500
Cl1 0.000 0.000 0.000
```

Record 2
A plane-wave DFT calculation with GGA-PBE was carried out for an optimized crystal structure of KCo2Os.

Output
The calculation puts the final energy at -5.2965 eV per atom. As for the formation energy: 1338 meV/atom. For the energy above the most stable polymorph in this dataset, the calculation gives 2.60 eV/f.u.

The structure in CIF format:
```
data_KCo2Os
_chemical_formula_sum 'K4 Co8 Os4'
_symmetry_space_group_name_H-M 'I -4 2 d'
_symmetry_Int_Tables_number 122
_symmetry_space_group_name_Hall 'I -4 2bw'
_cell_length_a 7.211
_cell_length_b 7.211
_cell_length_c 6.633
_cell_angle_alpha 90.00
_cell_angle_beta 90.00
_cell_angle_gamma 90.00
loop_
_atom_site_label
_atom_site_fract_x
_atom_site_fract_y
_atom_site_fract_z
K1 0.000 0.000 0.000
Co1 0.153 0.750 0.625
Os1 0.000 0.000 0.500
```

Record 3
A plane-wave DFT calculation with GGA-PBE was carried out for an optimized crystal structure of YAlTl2.

Output
The calculation puts the final energy at -3.7892 eV per atom. As for the formation energy: -54 meV/atom. For the energy above the most stable polymorph in this dataset, the calculation gives 0.62 eV/f.u.

The structure in CIF format:
```
data_YAlTl2
_chemical_formula_sum 'Y1 Al1 Tl2'
_symmetry_space_group_name_H-M 'P 4/m m m'
_symmetry_Int_Tables_number 123
_symmetry_space_group_name_Hall '-P 4 2'
_cell_length_a 3.814
_cell_length_b 3.814
_cell_length_c 6.945
_cell_angle_alpha 90.00
_cell_angle_beta 90.00
_cell_angle_gamma 90.00
loop_
_atom_site_label
_atom_site_fract_x
_atom_site_fract_y
_atom_site_fract_z
Y1 0.000 0.000 0.000
Al1 0.000 0.000 0.500
Tl1 0.500 0.500 0.274
```